A geometry-optimized HfSeBr2F structure, computed with PBE.

Cell lengths 5.219, 5.219, 5.151 Å; angles 90.00, 90.00, 90.00 degrees
Space group P4/mmm (No. 123)
Symmetry-distinct sites (fractional):
1 Hf 0.000 0.000 0.000 [1 per cell]
2 Se 0.000 0.000 0.500 [1 per cell]
3 Br 0.000 0.500 0.000 [2 per cell]
4 F 0.500 0.500 0.500 [1 per cell]

Output
* formation energy (no corrections): -19.0 kcal/mol of atoms
* energy above the lowest structure with this stoichiometry: 0.00 eV/f.u.
* D(E_F): 6.783 states/eV per cell
* total DFT energy (no corrections): -22.768 eV for the cell shown

***

A geometry-optimized HfSe2BrF structure, computed with PBE.

Cell lengths 5.155, 5.155, 4.936 Å; angles 90.00, 90.00, 90.00 degrees
Space group P4/mmm (No. 123)
Symmetry-distinct sites (fractional):
1 Hf 0.000 0.000 0.000 [1 per cell]
2 Se 0.000 0.500 0.500 [2 per cell]
3 Br 0.000 0.000 0.500 [1 per cell]
4 F 0.500 0.500 0.000 [1 per cell]

Output
* formation energy (no corrections): 14.9 kcal/mol of atoms
* energy above the lowest structure with this stoichiometry: 6.29 eV/f.u.
* D(E_F): 4.787 states/eV per cell
* total DFT energy (no corrections): -17.230 eV for the cell shown

***

> total DFT energy (no corrections) of number 1 (HfSeBr2F)?

-22.768 eV for the cell shown

***

> Among the records above, which one has the highest total DFT energy (no corrections)?

HfSe2BrF

***

> Which of these has the highest D(E_F)?

HfSeBr2F